1.
Material: BaCdFe2
Method: DFT, PBE
State: relaxed

a = 4.8011 Å, b = 4.8011 Å, c = 19.0152 Å
α = 90.00°, β = 90.00°, γ = 90.00°
With the nearest neighbours (Å) after each atom.
Space group I4_1/amd (No. 141, origin choice 2)
One atom of each set of equivalent atoms:
Ba1 0.0000 0.2500 0.3750  4 Cd 3.39, 8 Fe 3.59
Cd1 0.0000 0.2500 0.8750  4 Fe 2.66
Fe1 0.0000 0.0000 0.0000  2 Fe 2.40, 2 Cd 2.66

Output
**Spin magnetization**: 18.6 μB per cell
**E_form**: 611 meV per atom
**Theoretical density**: 5.48 g cm⁻³



2.
Material: BaCd2Fe
Method: DFT, PBE
State: relaxed

a = 8.2380 Å, b = 4.7600 Å, c = 6.5399 Å
α = 90.00°, β = 114.87°, γ = 90.00°
With the nearest neighbours (Å) after each atom.
Space group Cm (No. 8)
One atom of each set of equivalent atoms:
Ba1 0.0000 0.0000 0.0000  4 Fe 3.36-3.76, 7 Cd 3.48-3.72
Cd1 0.1956 0.0000 0.5860  3 Fe 2.89, 3 Cd 2.91
Cd2 0.4747 0.0000 0.4234  3 Fe 2.75, 3 Cd 2.91
Fe1 0.3113 0.5000 0.4332  6 Cd 2.75-2.89

Output
**Spin magnetization**: 5.3 μB per cell
**E_form**: 170 meV per atom
**Theoretical density**: 5.97 g cm⁻³



3.
Material: BaCd2Fe
Method: DFT, PBE
State: relaxed

a = 7.5814 Å, b = 7.5814 Å, c = 7.5814 Å
α = 90.00°, β = 90.00°, γ = 90.00°
With the nearest neighbours (Å) after each atom.
Space group Fm-3m (No. 225)
One atom of each set of equivalent atoms:
Ba1 0.0000 0.0000 0.0000  8 Cd 3.28
Cd1 0.2500 0.2500 0.2500  4 Ba 3.28, 4 Fe 3.28
Fe1 0.0000 0.0000 0.5000  8 Cd 3.28

Output
**Spin magnetization**: 11.1 μB per cell
**E_form**: 395 meV per atom
**Theoretical density**: 6.37 g cm⁻³



4.
Material: BaCdFe2
Method: DFT, PBE
State: relaxed

a = 3.2201 Å, b = 5.3967 Å, c = 10.4068 Å
α = 90.00°, β = 90.00°, γ = 90.00°
With the nearest neighbours (Å) after each atom.
Space group Imm2 (No. 44)
One atom of each set of equivalent atoms:
Ba1 0.0000 0.0000 0.0000  8 Fe 3.18-3.45, 2 Ba 3.22, 4 Cd 3.40-3.52
Cd1 0.0000 0.5000 0.8008  6 Fe 3.01-3.29, 2 Cd 3.22
Fe1 0.0000 0.0000 0.5455  2 Fe 2.33
Fe2 0.0000 0.5000 0.2069  2 Fe 2.33

Output
**Spin magnetization**: 10.2 μB per cell
**E_form**: 579 meV per atom
**Theoretical density**: 6.64 g cm⁻³



5.
Material: BaCd2Fe
Method: DFT, PBE
State: relaxed

a = 3.6680 Å, b = 3.6680 Å, c = 7.8040 Å
α = 90.00°, β = 90.00°, γ = 90.00°
With the nearest neighbours (Å) after each atom.
Space group P4mm (No. 99)
One atom of each set of equivalent atoms:
Ba1 0.0000 0.0000 0.0000  5 Cd 3.41-3.66, 4 Fe 3.54, 4 Ba 3.67
Cd1 0.0000 0.0000 0.5632  4 Fe 2.78
Cd2 0.5000 0.5000 0.3313  1 Fe 2.82
Fe1 0.5000 0.5000 0.6920  5 Cd 2.78-2.82

Output
**Spin magnetization**: 2.3 μB per cell
**E_form**: 306 meV per atom
**Theoretical density**: 6.61 g cm⁻³



6.
Material: BaCdFe2
Method: DFT, PBE
State: relaxed

a = 3.3283 Å, b = 4.9260 Å, c = 5.4528 Å
α = 90.00°, β = 90.00°, γ = 90.00°
With the nearest neighbours (Å) after each atom.
Space group Pmmm (No. 47)
One atom of each set of equivalent atoms:
Ba1 0.0000 0.0000 0.0000  4 Fe 2.97, 4 Cd 3.19, 2 Ba 3.33
Cd1 0.5000 0.0000 0.5000  4 Fe 2.97, 4 Ba 3.19, 2 Cd 3.33
Fe1 0.0000 0.5000 0.5000  4 Cd 2.97, 6 Fe 3.19-3.33
Fe2 0.5000 0.5000 0.0000  4 Ba 2.97, 6 Fe 3.19-3.33

Output
**Spin magnetization**: 5.2 μB per cell
**E_form**: 932 meV per atom
**Theoretical density**: 6.71 g cm⁻³